(1)
## RbZr2Cu (meta-GGA SCAN)

Data for RbZr2Cu at its PBEsol-relaxed geometry.

a b c (Å): 4.865 4.865 4.865
angles (deg): 60.00 60.00 60.00
Atoms (fractional coordinates):
Cu (0.000, 0.000, 0.000)
Rb (0.500, 0.500, 0.500)
Zr (0.250, 0.250, 0.250)
Zr (0.750, 0.750, 0.750)

Output
Space-group type = Fm-3m (225)
Energy of formation from the pure elements = 1060 meV/atom
Raw total energy = -93.10 eV/cell
Spin magnetization = 0.0 μB per formula unit

(2)
## CsEr2Cl7 (meta-GGA SCAN)

Data for CsEr2Cl7 at its PBEsol-relaxed geometry.

a b c (Å): 6.832 12.380 13.606
angles (deg): 90.00 90.00 90.00
Atoms (fractional coordinates):
Cs (0.250, 0.795, 0.036)
Cs (0.750, 0.205, 0.964)
Cs (0.750, 0.295, 0.464)
Cs (0.250, 0.705, 0.536)
Er (0.250, 0.449, 0.243)
Er (0.750, 0.551, 0.757)
Er (0.750, 0.949, 0.257)
Er (0.250, 0.051, 0.743)
Er (0.250, 0.145, 0.248)
Er (0.750, 0.855, 0.752)
Er (0.750, 0.645, 0.252)
Er (0.250, 0.355, 0.748)
Cl (0.007, 0.296, 0.182)
Cl (0.993, 0.704, 0.818)
Cl (0.993, 0.796, 0.318)
Cl (0.507, 0.704, 0.818)
Cl (0.007, 0.204, 0.682)
Cl (0.493, 0.296, 0.182)
Cl (0.493, 0.204, 0.682)
Cl (0.507, 0.796, 0.318)
Cl (0.009, 0.563, 0.129)
Cl (0.991, 0.437, 0.871)
Cl (0.991, 0.063, 0.371)
Cl (0.509, 0.437, 0.871)
Cl (0.009, 0.937, 0.629)
Cl (0.491, 0.563, 0.129)
Cl (0.491, 0.937, 0.629)
Cl (0.509, 0.063, 0.371)
Cl (0.010, 0.031, 0.133)
Cl (0.990, 0.969, 0.867)
Cl (0.990, 0.531, 0.367)
Cl (0.510, 0.969, 0.867)
Cl (0.010, 0.469, 0.633)
Cl (0.490, 0.031, 0.133)
Cl (0.490, 0.469, 0.633)
Cl (0.510, 0.531, 0.367)
Cl (0.250, 0.299, 0.388)
Cl (0.750, 0.701, 0.612)
Cl (0.750, 0.799, 0.112)
Cl (0.250, 0.201, 0.888)

Output
Space-group type = Pnma (62)
Energy relative to the elements, uncorrected = -2518 meV/atom
Raw total energy = -878.05 eV/cell
Spin magnetization = 0.0 μB per formula unit

(3)
## YMnCl2 (meta-GGA SCAN)

Data for YMnCl2 at its PBEsol-relaxed geometry.

a b c (Å): 3.248 3.248 9.396
angles (deg): 90.00 90.00 90.00
Atoms (fractional coordinates):
Y (0.500, 0.500, 0.500)
Mn (0.500, 0.500, 0.000)
Cl (0.000, 0.000, 0.667)
Cl (0.000, 0.000, 0.333)

Output
Distance to the lowest polymorph of the same formula = 0.000 eV per atom
Space-group type = P4/mmm (123)
Energy relative to the elements, uncorrected = -1097 meV/atom
Raw total energy = -66.44 eV/cell
Spin magnetization = 4.9 μB per formula unit

(4)
## BeCu2 (meta-GGA SCAN)

Data for BeCu2 at its PBEsol-relaxed geometry.

a b c (Å): 2.564 4.352 6.087
angles (deg): 70.18 77.84 72.86
Atoms (fractional coordinates):
Be (0.181, 0.726, 0.911)
Be (0.819, 0.274, 0.089)
Cu (0.836, 0.736, 0.591)
Cu (0.499, 0.791, 0.212)
Cu (0.501, 0.209, 0.788)
Cu (0.164, 0.264, 0.409)

Output
Space-group type = C2/m (12)
Energy of formation from the pure elements = -94 meV/atom
Raw total energy = -70.07 eV/cell
Spin magnetization = 0.0 μB per formula unit